A plane-wave DFT calculation with PBE-GGA was carried out for a relaxed Cs2Np3TlSe8 crystal.

POSCAR file:
```
Cs2Np3TlSe8
1.0
4.232 2.443 8.734
-4.232 2.443 8.734
0.000 -4.886 8.734
Cs Np Tl Se
2 3 1 8
Direct
0.000 0.000 0.000
0.358 0.358 0.358
0.359 0.359 0.860
0.359 0.860 0.359
0.860 0.359 0.359
0.745 0.745 0.745
0.096 0.096 0.552
0.096 0.552 0.096
0.135 0.135 0.135
0.161 0.622 0.622
0.552 0.096 0.096
0.583 0.583 0.583
0.622 0.161 0.622
0.622 0.622 0.161
```

Output
Magnetization (μB per cell): 8.00
E_form (uncorrected) (eV/atom): -1.022
Electronic total energy (eV per atom): -6.077